(1)
Here is crystalline Fe2AgRh at its relaxed geometry from Alexandria. Energies are from GGA-PBEsol.

abc: 2.6945 2.6945 25.5683
angles: 90.00 90.00 120.00
Space group R3m (No. 160, hexagonal axes)
Symmetry-distinct sites (fractional):
Fe  0.0000  0.0000  0.0000
Fe  0.0000  0.0000  0.2590
Ag  0.0000  0.0000  0.5045
Rh  0.0000  0.0000  0.7447

Computed properties:
Uncorrected energy ... -7.124 eV/atom
Size of the total moment ... 1.49 μB per atom
Energy relative to the elements ... 220 meV/atom
N(E_F) ... 1.052 states/eV per atom

=====

(2)
Here is crystalline Fe2AgRh at its relaxed geometry from Alexandria. Energies are from GGA-PBEsol.

abc: 2.875 2.875 6.483
angles: 90.00 90.00 90.00
Space group P4mm (No. 99)
Symmetry-distinct sites (fractional):
Fe  0.000  0.000  0.000
Fe  0.500  0.500  0.211
Ag  0.500  0.500  0.732
Rh  0.000  0.000  0.434

Computed properties:
Uncorrected energy ... -7.132 eV/atom
Size of the total moment ... 1.57 μB per atom
Energy relative to the elements ... 212 meV/atom
N(E_F) ... 1.102 states/eV per atom

=====

(3)
Here is crystalline FeAgRh2 at its relaxed geometry from Alexandria. Energies are from GGA-PBEsol.

abc: 3.859 3.859 3.724
angles: 90.00 90.00 90.00
Space group P4/mmm (No. 123)
Symmetry-distinct sites (fractional):
Fe  0.000  0.000  0.000
Ag  0.500  0.500  0.000
Rh  0.000  0.500  0.500

Computed properties:
Uncorrected energy ... -6.892 eV/atom
Size of the total moment ... 1.16 μB per atom
Energy relative to the elements ... 246 meV/atom
Polymorph energy (0 for the lowest one) ... 6.1 kJ per mole of atoms
N(E_F) ... 0.956 states/eV per atom

=====

(4)
Here is crystalline Fe2AgRh2 at its relaxed geometry from Alexandria. Energies are from GGA-PBEsol.

abc: 3.767 3.767 9.767
angles: 90.00 90.00 90.00
Space group I4/mmm (No. 139)
Symmetry-distinct sites (fractional):
Fe  0.000  0.000  0.099
Ag  0.000  0.000  0.500
Rh  0.000  0.500  0.250

Computed properties:
Uncorrected energy ... -7.053 eV/atom
Size of the total moment ... 0.29 μB per atom
Energy relative to the elements ... 450 meV/atom
N(E_F) ... 1.022 states/eV per atom

=====

(5)
Here is crystalline FeAgRu2 at its relaxed geometry from Alexandria. Energies are from GGA-PBEsol.

abc: 3.754 3.754 3.841
angles: 90.00 90.00 90.00
Space group P4/mmm (No. 123)
Symmetry-distinct sites (fractional):
Fe  0.000  0.000  0.000
Ag  0.500  0.500  0.000
Ru  0.000  0.500  0.500

Computed properties:
Uncorrected energy ... -7.625 eV/atom
Size of the total moment ... 0.78 μB per atom
Energy relative to the elements ... 530 meV/atom
Polymorph energy (0 for the lowest one) ... 3.1 kJ per mole of atoms
N(E_F) ... 1.133 states/eV per atom

=====

(6)
Here is crystalline FeAgRu2 at its relaxed geometry from Alexandria. Energies are from GGA-PBEsol.

abc: 2.755 4.478 9.033
angles: 90.00 90.00 90.00
Space group Cmm2 (No. 35)
Symmetry-distinct sites (fractional):
Fe  0.000  0.000  0.000
Ag  0.000  0.500  0.255
Ru  0.000  0.000  0.527
Ru  0.000  0.500  0.770

Computed properties:
Uncorrected energy ... -7.657 eV/atom
Size of the total moment ... 0.81 μB per atom
Energy relative to the elements ... 498 meV/atom
Polymorph energy (0 for the lowest one) ... 0.0 kJ per mole of atoms
N(E_F) ... 1.438 states/eV per atom

=====

(7)
Here is crystalline FeAg2Ru at its relaxed geometry from Alexandria. Energies are from GGA-PBEsol.

abc: 6.168 6.168 6.168
angles: 90.00 90.00 90.00
Space group F-43m (No. 216)
Symmetry-distinct sites (fractional):
Fe  0.000  0.000  0.000
Ag  0.000  0.000  0.500
Ag  0.250  0.250  0.750
Ru  0.250  0.250  0.250

Computed properties:
Uncorrected energy ... -5.887 eV/atom
Size of the total moment ... 1.00 μB per atom
Energy relative to the elements ... 552 meV/atom
Polymorph energy (0 for the lowest one) ... 2.6 kJ per mole of atoms
N(E_F) ... 0.456 states/eV per atom

=====

(8)
Here is crystalline FeAg2Ru at its relaxed geometry from Alexandria. Energies are from GGA-PBEsol.

abc: 3.723 3.723 4.214
angles: 90.00 90.00 90.00
Space group P4/mmm (No. 123)
Symmetry-distinct sites (fractional):
Fe  0.000  0.000  0.000
Ag  0.000  0.500  0.500
Ru  0.500  0.500  0.000

Computed properties:
Uncorrected energy ... -5.914 eV/atom
Size of the total moment ... 1.01 μB per atom
Energy relative to the elements ... 526 meV/atom
Polymorph energy (0 for the lowest one) ... 0.0 kJ per mole of atoms
N(E_F) ... 0.783 states/eV per atom